This record from Alexandria describes a relaxed TiNbGe crystal. The functional is PBE-GGA.

Cell lengths 2.8426, 2.8426, 6.6260 Å; angles 102.39, 102.39, 90.00 degrees
Last column: nearest neighbours and their distance in Å.
Element x y z (fractional)
Nb (0.6210, 0.6210, 0.2421)  4 Nb 2.84, 4 Ge 2.90, 4 Ti 3.02
Ge (0.2860, 0.2860, 0.5721)  4 Ti 2.82, 4 Ge 2.84, 4 Nb 2.90
Ti (0.9429, 0.9429, 0.8859)  4 Ge 2.82, 4 Ti 2.84, 4 Nb 3.02

Size of the total moment ... 0.4 μB per cell
Formation energy from the elements ... -0.1686 eV per atom
Space group ... I4mm (107)

This record from Alexandria describes a relaxed TiNb3Ge4 crystal. The functional is PBE-GGA.

Cell lengths 5.2549, 5.2547, 10.4857 Å; angles 90.00, 90.00, 90.00 degrees
Last column: nearest neighbours and their distance in Å.
Element x y z (fractional)
Ti (0.0643, 0.2498, 0.0000)  6 Ge 2.59-2.63
Ti (0.5643, 0.7502, 0.5000)  6 Ge 2.59-2.63
Nb (0.5641, 0.7500, 0.0000)  6 Ge 2.63-2.66
Nb (0.0646, 0.7497, 0.2500)  6 Ge 2.62-2.63
Nb (0.5646, 0.2503, 0.2500)  6 Ge 2.62-2.63
Nb (0.0641, 0.2500, 0.5000)  6 Ge 2.63-2.66
Nb (0.5646, 0.2503, 0.7500)  6 Ge 2.62-2.63
Nb (0.0646, 0.7497, 0.7500)  6 Ge 2.62-2.63
Ge (0.0642, 0.7498, 0.0000)  4 Nb 2.62-2.63, 2 Ti 2.63
Ge (0.5643, 0.2499, 0.0000)  4 Nb 2.62-2.63, 2 Ti 2.63
Ge (0.0646, 0.2498, 0.2466)  1 Ti 2.59, 5 Nb 2.63-2.66
Ge (0.5646, 0.7502, 0.2534)  1 Ti 2.59, 5 Nb 2.63-2.66
Ge (0.0643, 0.7501, 0.5000)  4 Nb 2.62-2.63, 2 Ti 2.63
Ge (0.5642, 0.2502, 0.5000)  4 Nb 2.62-2.63, 2 Ti 2.63
Ge (0.5646, 0.7502, 0.7466)  1 Ti 2.59, 5 Nb 2.63-2.66
Ge (0.0646, 0.2498, 0.7534)  1 Ti 2.59, 5 Nb 2.63-2.66

Size of the total moment ... 0.0 μB per cell
Formation energy from the elements ... -0.2172 eV per atom
Space group ... I4/mmm (139)

This record from Alexandria describes a relaxed TiNbGe2 crystal. The functional is PBE-GGA.

Cell lengths 2.9907, 2.9907, 8.8884 Å; angles 80.31, 80.31, 60.00 degrees
Last column: nearest neighbours and their distance in Å.
Element x y z (fractional)
Nb (0.5000, 0.5000, 0.5000)  6 Ge 2.81, 6 Nb 2.99
Ge (0.7487, 0.7487, 0.7538)  3 Ti 2.75, 3 Nb 2.81, 6 Ge 2.99
Ge (0.2513, 0.2513, 0.2462)  3 Ti 2.75, 3 Nb 2.81, 6 Ge 2.99
Ti (0.0000, 0.0000, 0.0000)  6 Ge 2.75, 6 Ti 2.99

Size of the total moment ... 0.0 μB per cell
Formation energy from the elements ... -0.1751 eV per atom
Space group ... R-3m (166)
Excess energy over the best structure of this formula in the dataset ... 122 meV per atom